No. 1
The following is a PBE calculation of an optimized crystal structure of PmAg5Cl8, from Alexandria via LeMat-Bulk.

Values from the calculation:
The value obtained for the raw formation energy is -936 meV per atom.

The structure in CIF format:
```
data_PmAg5Cl8
_cell_length_a 8.9710
_cell_length_b 7.2021
_cell_length_c 7.9326
_cell_angle_alpha 104.47
_cell_angle_beta 106.00
_cell_angle_gamma 121.34
_symmetry_space_group_name_H-M 'P 1'
_symmetry_Int_Tables_number 1
loop_
_symmetry_equiv_pos_as_xyz
'x,y,z'
loop_
_atom_site_label
_atom_site_fract_x
_atom_site_fract_y
_atom_site_fract_z
Pm1 0.3095 0.8447 0.6324
Ag1 0.9352 0.3626 0.9757
Ag2 0.5814 0.5440 0.4385
Ag3 0.4737 0.0333 0.2641
Ag4 0.4802 0.5169 0.8963
Ag5 0.0509 0.1073 0.4802
Cl1 0.1224 0.7970 0.2527
Cl2 0.2043 0.4107 0.3486
Cl3 0.6516 0.8449 0.2805
Cl4 0.1760 0.5273 0.8032
Cl5 0.5131 0.2218 0.0311
Cl6 0.0054 0.8317 0.6444
Cl7 0.6609 0.9015 0.7964
Cl8 0.5854 0.3063 0.6560
```


No. 2
The following is a PBE calculation of an optimized crystal structure of CaFeCu2, from Alexandria via LeMat-Bulk.

Values from the calculation:
For the formation energy, the calculation gives 36.7 kJ per mole of atoms.

The structure in CIF format:
```
data_CaFeCu2
_cell_length_a 5.0426
_cell_length_b 5.0426
_cell_length_c 5.0426
_cell_angle_alpha 134.47
_cell_angle_beta 134.47
_cell_angle_gamma 66.36
_symmetry_space_group_name_H-M 'P 1'
_symmetry_Int_Tables_number 1
loop_
_symmetry_equiv_pos_as_xyz
'x,y,z'
loop_
_atom_site_label
_atom_site_fract_x
_atom_site_fract_y
_atom_site_fract_z
Ca1 0.7500 0.2500 0.5000
Fe1 0.5000 0.5000 0.0000
Cu1 0.0000 0.0000 0.0000
Cu2 0.2500 0.7500 0.5000
```


No. 3
The following is a PBE calculation of an optimized crystal structure of Tb2Cd, from Alexandria via LeMat-Bulk.

Values from the calculation:
For the formation energy, the calculation gives 9.4 kJ per mole of atoms.

The structure in CIF format:
```
data_Tb2Cd
_cell_length_a 5.1596
_cell_length_b 5.1617
_cell_length_c 5.1617
_cell_angle_alpha 60.00
_cell_angle_beta 60.01
_cell_angle_gamma 60.01
_symmetry_space_group_name_H-M 'P 1'
_symmetry_Int_Tables_number 1
loop_
_symmetry_equiv_pos_as_xyz
'x,y,z'
loop_
_atom_site_label
_atom_site_fract_x
_atom_site_fract_y
_atom_site_fract_z
Tb1 0.2499 0.2501 0.2501
Tb2 0.7501 0.7499 0.7499
Cd1 0.0000 0.0000 0.0000
```


No. 4
The following is a PBE calculation of an optimized crystal structure of SrNi2P3, from Alexandria via LeMat-Bulk.

Values from the calculation:
For the formation energy, the calculation gives -39.3 kJ per mole of atoms.

The structure in CIF format:
```
data_SrNi2P3
_cell_length_a 4.0338
_cell_length_b 4.0338
_cell_length_c 13.8597
_cell_angle_alpha 90.00
_cell_angle_beta 90.00
_cell_angle_gamma 120.00
_symmetry_space_group_name_H-M 'P 1'
_symmetry_Int_Tables_number 1
loop_
_symmetry_equiv_pos_as_xyz
'x,y,z'
loop_
_atom_site_label
_atom_site_fract_x
_atom_site_fract_y
_atom_site_fract_z
Sr1 0.0000 0.0000 0.2500
Sr2 0.0000 0.0000 0.7500
P1 0.6667 0.3333 0.1064
P2 0.3333 0.6667 0.6064
P3 0.3333 0.6667 0.8936
P4 0.6667 0.3333 0.3936
P5 0.0000 0.0000 0.0000
P6 0.0000 0.0000 0.5000
Ni1 0.6667 0.3333 0.5690
Ni2 0.3333 0.6667 0.0690
Ni3 0.3333 0.6667 0.4310
Ni4 0.6667 0.3333 0.9310
```


No. 5
The following is a PBE calculation of an optimized crystal structure of PrY6Tm3Th2, from Alexandria via LeMat-Bulk.

Values from the calculation:
For the formation energy, the calculation gives 3.9 kJ per mole of atoms.

The structure in CIF format:
```
data_PrY6Tm3Th2
_cell_length_a 6.1944
_cell_length_b 6.1944
_cell_length_c 11.7687
_cell_angle_alpha 95.04
_cell_angle_beta 95.04
_cell_angle_gamma 119.94
_symmetry_space_group_name_H-M 'P 1'
_symmetry_Int_Tables_number 1
loop_
_symmetry_equiv_pos_as_xyz
'x,y,z'
loop_
_atom_site_label
_atom_site_fract_x
_atom_site_fract_y
_atom_site_fract_z
Pr1 0.0000 0.0000 0.0000
Y1 0.9156 0.5779 0.7496
Y2 0.7463 0.7463 0.2503
Y3 0.0844 0.4221 0.2504
Y4 0.5779 0.9156 0.7496
Y5 0.2537 0.2537 0.7497
Y6 0.4221 0.0844 0.2504
Tm1 0.1664 0.8336 0.5000
Tm2 0.8336 0.1664 0.5000
Tm3 0.5000 0.5000 0.5000
Th1 0.3331 0.6669 0.0000
Th2 0.6669 0.3331 0.0000
```


No. 6
The following is a PBE calculation of an optimized crystal structure of Fe2P, from Alexandria via LeMat-Bulk.

Values from the calculation:
For the formation energy, the calculation gives -0.8 kJ per mole of atoms.

The structure in CIF format:
```
data_Fe2P
_cell_length_a 9.3078
_cell_length_b 9.3078
_cell_length_c 9.3078
_cell_angle_alpha 163.37
_cell_angle_beta 163.37
_cell_angle_gamma 23.60
_symmetry_space_group_name_H-M 'P 1'
_symmetry_Int_Tables_number 1
loop_
_symmetry_equiv_pos_as_xyz
'x,y,z'
loop_
_atom_site_label
_atom_site_fract_x
_atom_site_fract_y
_atom_site_fract_z
Fe1 0.1802 0.6802 0.5000
Fe2 0.5698 0.5698 0.0000
Fe3 0.3198 0.8198 0.5000
Fe4 0.4302 0.4302 0.0000
P1 0.7500 0.2500 0.5000
P2 0.0000 0.0000 0.0000
```


No. 7
The following is a PBE calculation of an optimized crystal structure of Al2C, from Alexandria via LeMat-Bulk.

Values from the calculation:
For the formation energy, the calculation gives 22.2 kJ per mole of atoms.

The structure in CIF format:
```
data_Al2C
_cell_length_a 5.2488
_cell_length_b 5.2488
_cell_length_c 4.6071
_cell_angle_alpha 90.00
_cell_angle_beta 90.00
_cell_angle_gamma 120.00
_symmetry_space_group_name_H-M 'P 1'
_symmetry_Int_Tables_number 1
loop_
_symmetry_equiv_pos_as_xyz
'x,y,z'
loop_
_atom_site_label
_atom_site_fract_x
_atom_site_fract_y
_atom_site_fract_z
Al1 0.3555 0.3555 0.7687
Al2 0.6445 0.0000 0.7687
Al3 0.0000 0.6445 0.7687
Al4 0.0000 0.3555 0.2313
Al5 0.3555 0.0000 0.2313
Al6 0.6445 0.6445 0.2313
C1 0.0000 0.0000 0.0000
C2 0.3333 0.6667 0.5000
C3 0.6667 0.3333 0.5000
```


No. 8
The following is a PBE calculation of an optimized crystal structure of Rb5ErO4, from Alexandria via LeMat-Bulk.

Values from the calculation:
The value obtained for the raw formation energy is -1542 meV per atom. The calculation puts the excess energy over the best structure of this formula in the dataset at 11.1 kJ/mol of atoms.

The structure in CIF format:
```
data_Rb5ErO4
_cell_length_a 3.7176
_cell_length_b 7.6533
_cell_length_c 9.1372
_cell_angle_alpha 103.89
_cell_angle_beta 101.74
_cell_angle_gamma 90.00
_symmetry_space_group_name_H-M 'P 1'
_symmetry_Int_Tables_number 1
loop_
_symmetry_equiv_pos_as_xyz
'x,y,z'
loop_
_atom_site_label
_atom_site_fract_x
_atom_site_fract_y
_atom_site_fract_z
Rb1 0.8480 0.6781 0.6960
Rb2 0.8419 0.1381 0.6838
Rb3 0.1581 0.8619 0.3162
Rb4 0.5000 0.5000 0.0000
Rb5 0.1520 0.3219 0.3040
Er1 0.5000 0.0000 0.0000
O1 0.3678 0.9194 0.7357
O2 0.0006 0.7979 0.0011
O3 0.6322 0.0806 0.2643
O4 0.9994 0.2021 0.9989
```


No. 9
The following is a PBE calculation of an optimized crystal structure of TlGeF6, from Alexandria via LeMat-Bulk.

Values from the calculation:
The value obtained for the raw formation energy is -2129 meV per atom. The calculation puts the excess energy over the best structure of this formula in the dataset at 3.1 kJ/mol of atoms.

The structure in CIF format:
```
data_TlGeF6
_cell_length_a 5.1061
_cell_length_b 5.1061
_cell_length_c 5.2054
_cell_angle_alpha 96.51
_cell_angle_beta 96.51
_cell_angle_gamma 113.09
_symmetry_space_group_name_H-M 'P 1'
_symmetry_Int_Tables_number 1
loop_
_symmetry_equiv_pos_as_xyz
'x,y,z'
loop_
_atom_site_label
_atom_site_fract_x
_atom_site_fract_y
_atom_site_fract_z
Tl1 0.0000 0.0000 0.0000
Ge1 0.5000 0.5000 0.5000
F1 0.5140 0.8126 0.7258
F2 0.8126 0.5140 0.7258
F3 0.1874 0.4860 0.2742
F4 0.4860 0.1874 0.2742
F5 0.2507 0.2507 0.6774
F6 0.7493 0.7493 0.3226
```


No. 10
The following is a PBE calculation of an optimized crystal structure of DyGaSn2Cl8, from Alexandria via LeMat-Bulk.

Values from the calculation:
The value obtained for the raw formation energy is -1370 meV per atom.

The structure in CIF format:
```
data_DyGaSn2Cl8
_cell_length_a 6.7916
_cell_length_b 6.4948
_cell_length_c 8.6904
_cell_angle_alpha 91.18
_cell_angle_beta 91.57
_cell_angle_gamma 88.73
_symmetry_space_group_name_H-M 'P 1'
_symmetry_Int_Tables_number 1
loop_
_symmetry_equiv_pos_as_xyz
'x,y,z'
loop_
_atom_site_label
_atom_site_fract_x
_atom_site_fract_y
_atom_site_fract_z
Dy1 0.0000 0.0000 0.0000
Ga1 0.0000 0.0000 0.5000
Sn1 0.5090 0.5034 0.7470
Sn2 0.4910 0.4966 0.2530
Cl1 0.1466 0.7624 0.2233
Cl2 0.6904 0.7541 0.9731
Cl3 0.8211 0.2091 0.2239
Cl4 0.8534 0.2376 0.7767
Cl5 0.3096 0.2459 0.0269
Cl6 0.1789 0.7909 0.7761
Cl7 0.6577 0.7140 0.5277
Cl8 0.3423 0.2860 0.4723
```


No. 11
The following is a PBE calculation of an optimized crystal structure of Sr2ScMo, from Alexandria via LeMat-Bulk.

Values from the calculation:
For the formation energy, the calculation gives 87.5 kJ per mole of atoms. The calculation puts the excess energy over the best structure of this formula in the dataset at 43.1 kJ/mol of atoms.

The structure in CIF format:
```
data_Sr2ScMo
_cell_length_a 6.0808
_cell_length_b 6.0808
_cell_length_c 6.0808
_cell_angle_alpha 133.28
_cell_angle_beta 133.28
_cell_angle_gamma 68.21
_symmetry_space_group_name_H-M 'P 1'
_symmetry_Int_Tables_number 1
loop_
_symmetry_equiv_pos_as_xyz
'x,y,z'
loop_
_atom_site_label
_atom_site_fract_x
_atom_site_fract_y
_atom_site_fract_z
Mo1 0.2500 0.7500 0.5000
Sc1 0.7500 0.2500 0.5000
Sr1 0.0000 0.0000 0.0000
Sr2 0.5000 0.5000 0.0000
```


No. 12
The following is a PBE calculation of an optimized crystal structure of Rb2TiTlF8, from Alexandria via LeMat-Bulk.

Values from the calculation:
The value obtained for the raw formation energy is -2633 meV per atom.

The structure in CIF format:
```
data_Rb2TiTlF8
_cell_length_a 5.9054
_cell_length_b 5.9054
_cell_length_c 7.9547
_cell_angle_alpha 90.00
_cell_angle_beta 90.00
_cell_angle_gamma 120.00
_symmetry_space_group_name_H-M 'P 1'
_symmetry_Int_Tables_number 1
loop_
_symmetry_equiv_pos_as_xyz
'x,y,z'
loop_
_atom_site_label
_atom_site_fract_x
_atom_site_fract_y
_atom_site_fract_z
Rb1 0.6667 0.3333 0.1639
Rb2 0.3333 0.6667 0.8361
Ti1 0.0000 0.0000 0.0000
Tl1 0.0000 0.0000 0.5000
F1 0.8503 0.7006 0.8607
F2 0.2994 0.1497 0.8607
F3 0.8503 0.1497 0.8607
F4 0.1497 0.2994 0.1393
F5 0.7006 0.8503 0.1393
F6 0.1497 0.8503 0.1393
F7 0.6667 0.3333 0.5055
F8 0.3333 0.6667 0.4945
```


How do the records compare in volume? In the order shown, they have 26.38; 16.07; 32.41; 16.28; 32.10; 11.00; 12.21; 24.68; 15.27; 31.92; 29.27; 20.02 Å³/atom.
How do the records compare in calculated total energy? In the order shown, they have -46.9; -17.1; -9.9; -63.8; -71.3; -44.7; -48.1; -44.7; -35.2; -46.9; -16.9; -58.8 eV for the cell shown.
How do the records compare in M_tot? In the order shown, they have 0.00; 2.42; 0.01; 0.00; 0.00; 0.00; 0.00; 0.00; 0.00; 0.00; 1.00; 1.00 μB per cell.